{
  "formula": "KWO2",
  "functional": "GGA+U",
  "state": "relaxed",
  "mass_density_g_cm3": 8.2,
  "dos_at_fermi_per_ev_cell": 1.180,
  "final_energy_ev_per_cell": -19.67,
  "e_above_lowest_polymorph_mev_per_atom": 1019,
  "space_group": "Fm-3m",
  "lattice": [[0.000, 2.953, 2.953], [2.953, 0.000, 2.953], [2.953, 2.953, 0.000]],
  "species": ["K", "O", "O", "W"],
  "frac_coords": [[0.000, 0.000, 0.000], [0.250, 0.250, 0.250], [0.750, 0.750, 0.750], [0.500, 0.500, 0.500]]
}